First-principles (PBE) data for an optimized crystal structure of Li2NdSb2, as listed in Alexandria via LeMat-Bulk.

E_form (uncorrected) (eV/atom): -0.726
Fermi-level density of states (states/eV per cell): 1.98
Total magnetic moment (μB/cell): 0.00

```
Li2NdSb2
1.0
4.6083 0.0000 0.0000
0.0000 4.6083 0.0000
0.0000 0.0000 11.0705
Li Nd Sb
4 2 4
Cartesian
1.1521 1.1521 1.3592 Li
1.1521 3.4563 5.5353 Li
3.4563 1.1521 5.5353 Li
3.4563 3.4563 9.7113 Li
1.1521 1.1521 8.5258 Nd
3.4563 3.4563 2.5447 Nd
1.1521 1.1521 3.9019 Sb
1.1521 3.4563 0.0000 Sb
3.4563 1.1521 0.0000 Sb
3.4563 3.4563 7.1686 Sb
```